# Ho6WO12

A relaxed structure of Ho6WO12 (GGA+U, the Alexandria database).

Unit cell a=9.8054 b=9.8054 c=9.3437 alpha=90.00 beta=90.00 gamma=120.00
Space group R-3 (No. 148, hexagonal axes)
Symmetry-distinct sites (fractional):
Ho1 0.0402 0.2534 0.1426
W1 0.0000 0.0000 0.5000
O1 0.0314 0.2221 0.8996
O2 0.0347 0.1838 0.3864

Results
Mass density (Mg/m³): 8.74
Spin magnetization (μB per atom): 0.000
E (eV/cell): -473.40
Volume (Å³ per cell): 778.0